Model P:
12
Lattice="6.5111 0.0000 0.0000 0.0000 6.7472 -0.1017 0.0000 -2.3115 6.3398" Properties=species:S:1:pos:R:3 comment="Ca3Se2O | Alexandria via LeMat-Bulk | GGA-PBE | optimized geometry" magmom_total_mub_per_atom=0.000 volume_a3_per_atom=23.08 pbc="T T T"
Ca 1.6278 1.6661 2.3431
Ca 4.8833 2.7697 3.8950
Ca 3.2555 -0.9818 5.3942
Ca 0.0000 -0.9818 5.3942
Ca 0.0000 5.4175 0.8438
Ca 3.2555 5.4175 0.8438
Se 4.8833 2.9538 0.9853
Se 1.6278 4.4750 3.1245
Se 1.6278 1.4820 5.2528
Se 4.8833 -0.0392 3.1135
O 4.8833 4.0576 5.7063
O 1.6278 0.3781 0.5318


Model Q:
24
Lattice="6.4222 0.0000 0.4576 3.2111 6.3769 0.2288 -0.0153 0.0000 13.9884" Properties=species:S:1:pos:R:3 comment="Ca3Se2O | Alexandria via LeMat-Bulk | GGA-PBE | optimized geometry" magmom_total_mub_per_atom=0.000 volume_a3_per_atom=23.87 pbc="T T T"
O 4.9680 6.3373 12.0603
O 7.8534 6.3373 9.8376
O 4.6499 0.0396 2.6146
O 1.7646 0.0396 4.8373
Ca 4.6715 5.1581 6.8413
Ca 3.1996 6.2355 10.7201
Ca 3.1996 1.2417 10.7201
Ca 1.4527 1.2188 13.6067
Ca 2.0306 2.1878 5.3007
Ca 4.3839 2.1878 2.1511
Ca 7.5873 4.1891 9.3741
Ca 6.4183 5.1352 3.9547
Ca 6.4183 0.1414 3.9547
Ca 8.1652 5.1581 1.0682
Ca 5.2340 4.1891 12.5238
Ca 4.9465 1.2188 7.8336
Se 4.9865 2.6428 5.1982
Se 1.5182 1.3314 8.1415
Se 4.7369 5.0454 1.3761
Se 8.0998 5.0454 6.5333
Se 4.6315 3.7340 9.4766
Se 1.4280 2.6428 2.2536
Se 4.8810 1.3314 13.2988
Se 8.1899 3.7340 12.4213


If we sort the structures by their calculated energies, the order from most to least stable is model Q, model P.


Model P:
14
Lattice="5.4265 0.0000 -0.0225 0.0000 5.6791 0.0000 -2.0215 0.0000 6.1364" Properties=species:S:1:pos:R:3 comment="Ca2SiO4 | Alexandria via LeMat-Bulk | GGA-PBE | optimized geometry" magmom_total_mub_per_atom=0.000 volume_a3_per_atom=13.49 pbc="T T T"
Si 2.4948 1.4198 4.9146
Si 0.9102 4.2593 1.1993
Ca -0.2322 1.4198 5.9472
Ca 0.2927 1.4198 2.6295
Ca 3.1123 4.2593 3.4844
Ca 3.6372 4.2593 0.1667
O -0.4575 4.2593 2.1122
O 1.5019 2.7054 4.5794
O 3.8624 1.4198 4.0017
O 1.5019 0.1341 4.5794
O 1.9030 5.5450 1.5345
O 1.9030 2.9737 1.5345
O 4.8952 1.4198 0.3783
O -1.4903 4.2593 5.7356


Model Q:
28
Lattice="-4.5880 -0.3897 -2.2509 -1.8782 -4.6230 4.6287 -3.9684 8.2761 6.6557" Properties=species:S:1:pos:R:3 comment="Ca2SiO4 | Alexandria via LeMat-Bulk | GGA-PBE | optimized geometry" magmom_total_mub_per_atom=0.000 volume_a3_per_atom=14.12 pbc="T T T"
O -4.3963 3.3422 6.0061
O -6.7701 -1.8803 4.8309
O -4.7908 -3.4164 2.1500
O -6.2750 3.4574 3.4090
O -7.5967 4.0953 6.5640
O -6.1674 3.9419 8.9407
O -7.2044 0.6852 5.2672
O -8.3286 2.2939 8.3676
O -2.1060 0.9694 0.6659
O -3.6645 5.1436 4.2025
O -4.1595 -0.1941 5.6245
O -3.2302 2.5781 3.7663
O -6.0382 -0.0789 3.0273
O -2.8378 -0.8320 2.4694
O -4.2672 -0.6786 0.0927
O -5.6438 6.6797 6.8834
Ca -4.2782 3.9432 2.2024
Ca -6.1317 0.7797 0.7927
Ca -0.9391 -2.3115 2.3144
Ca -4.5343 -1.8426 3.8259
Ca -4.3029 2.4836 8.2407
Ca 0.0000 0.0000 0.0000
Ca -5.2173 1.6316 4.5167
Ca -5.9003 5.1059 5.2076
Si -7.2651 -0.4862 4.0725
Si -2.8108 -0.5266 0.8356
Si -7.6237 3.7899 8.1979
Si -3.1695 3.7495 4.9609


Model R:
28
Lattice="-1.0475 1.8730 -4.9587 4.4384 -4.7609 -2.7359 -7.4019 -6.4150 -0.8596" Properties=species:S:1:pos:R:3 comment="Ca2SiO4 | Alexandria via LeMat-Bulk | GGA-PBE | optimized geometry" magmom_total_mub_per_atom=0.000 volume_a3_per_atom=13.40 pbc="T T T"
O 0.9682 -6.2574 -4.6547
O -0.1994 -4.4364 -6.2743
O -3.2972 -4.8597 -4.9361
O -5.7361 -5.5840 -4.1543
O -0.1906 -1.5158 -2.2292
O -0.7138 -4.4432 -3.6181
O -3.8115 -4.8664 -2.2799
O -1.5635 -7.6638 -2.8775
O -1.4970 0.5532 -4.5052
O -4.1946 -8.0443 -3.0057
O -3.8203 -7.7871 -6.3250
O -4.9792 -3.0454 -3.8994
O 0.1836 -1.2586 -5.5485
O -2.4475 -1.6391 -5.6766
O 1.7251 -3.7189 -4.3999
O -2.5140 -9.8561 -4.0490
Si 0.4313 -4.7122 -4.7587
Si -2.7659 -8.8205 -2.8036
Si -1.2450 -0.4823 -5.7506
Si -4.4422 -4.5906 -3.7955
Ca -2.0451 -6.8194 -5.1427
Ca -5.1626 -6.5924 -1.4547
Ca -1.4817 -5.5880 -1.7977
Ca 1.1517 -2.7104 -7.0995
Ca 1.6955 -1.4439 -3.8473
Ca -1.9658 -2.4835 -3.4115
Ca -3.7009 -3.2075 -0.4298
Ca -0.5237 0.9365 -2.4794


Model S:
14
Lattice="-1.5485 5.1791 -1.0087 -3.7554 -3.7744 1.3743 0.9676 1.7293 7.3939" Properties=species:S:1:pos:R:3 comment="Ca2SiO4 | Alexandria via LeMat-Bulk | GGA-PBE | optimized geometry" magmom_total_mub_per_atom=0.000 volume_a3_per_atom=14.32 pbc="T T T"
Ca 0.0563 0.1006 0.4303
Ca -2.2317 0.6185 6.6017
Ca -1.9799 2.7383 2.1105
Ca 0.5401 0.9653 4.1272
O -3.8791 0.7745 2.5284
O -2.4869 0.1624 4.6519
O -1.2594 0.0807 2.3479
O -3.1143 -1.7835 3.0266
O -2.2351 2.2823 0.1606
O -0.4033 2.4558 5.6428
O -1.1681 5.0138 5.1446
O -3.0229 3.1496 5.8234
Si -2.6917 -0.2036 3.0868
Si -1.4722 3.6456 5.9894


If we sort the structures by their calculated energies, the order from most to least stable is model Q, model R, model P, model S.


Model P:
14
Lattice="-2.3020 -4.6669 -2.3380 -1.8321 -4.5465 2.9186 -6.6055 2.4448 0.5346" Properties=species:S:1:pos:R:3 comment="Ca2SiO4 | Alexandria via LeMat-Bulk | GGA-PBE | optimized geometry" magmom_total_mub_per_atom=0.000 volume_a3_per_atom=13.44 pbc="T T T"
O -8.2392 -5.8956 1.1629
O -4.0679 -2.8447 1.3201
O -9.1644 -3.4244 1.5394
O -1.4615 -3.3151 0.8482
O -7.7194 -4.0037 -0.7584
O -6.5138 -3.8834 1.5626
O -2.4488 -0.8598 0.5300
O -3.2934 -2.8348 -1.1809
Ca -4.6773 -5.3560 0.6961
Ca -1.8417 -4.5490 2.8107
Ca -5.5960 -3.4422 -1.9723
Ca -6.0348 -1.4055 0.7270
Si -7.9578 -4.2740 0.8664
Si -2.7718 -2.4920 0.3619


Model Q:
28
Lattice="-6.5686 2.7450 4.2619 -2.9551 0.5760 -4.9256 -4.9405 -7.1857 -2.9863" Properties=species:S:1:pos:R:3 comment="Ca2SiO4 | Alexandria via LeMat-Bulk | GGA-PBE | optimized geometry" magmom_total_mub_per_atom=0.000 volume_a3_per_atom=13.89 pbc="T T T"
Ca -9.9894 -4.3732 -4.7018
Ca -4.4748 0.5086 1.0518
Ca -10.0673 -1.7795 1.5845
Ca -7.3979 -0.6328 -0.3674
Ca -3.3857 -0.1449 -2.5748
Ca -4.3969 -2.0852 -5.2344
Ca -7.0663 -3.2319 -3.2825
Ca -11.0786 -3.7198 -1.0752
O -6.4863 -3.0217 -0.9844
O -9.4613 -3.0727 -2.8620
O -5.0107 1.2355 -3.5609
O -4.7562 -2.3551 -2.9162
O -6.7334 -2.6698 -5.5391
O -8.1544 -5.5602 -3.8072
O -7.9779 -0.8429 -2.6656
O -7.7308 -1.1949 1.8891
O -1.5536 -0.4579 -1.0889
O -9.4535 -5.1001 -0.0891
O -5.5423 -5.1917 -3.5339
O -9.7080 -1.5095 -0.7338
O -6.3098 1.6955 0.1573
O -12.9106 -3.4067 -2.5610
O -5.0029 -0.7919 -0.7879
O -8.9220 1.3271 -0.1161
Si -9.4560 -1.5127 -2.3800
Si -6.7501 -6.2492 -3.2356
Si -7.7142 2.3846 -0.4143
Si -5.0082 -2.3519 -1.2699


If we sort the structures by their calculated energies, the order from most to least stable is model Q, model P.